# GdMgAgRh (PBE, optimized geometry)
data_GdMgAgRh
_symmetry_space_group_name_H-M 'F -4 3 m'
_symmetry_Int_Tables_number 216
_symmetry_space_group_name_Hall 'F -4 2 3'
_cell_length_a 6.8443
_cell_length_b 6.8443
_cell_length_c 6.8443
_cell_angle_alpha 90.00
_cell_angle_beta 90.00
_cell_angle_gamma 90.00
loop_
_atom_site_label
_atom_site_fract_x
_atom_site_fract_y
_atom_site_fract_z
Gd1 0.0000 0.0000 0.0000
Mg1 0.0000 0.0000 0.5000
Ag1 0.2500 0.2500 0.7500
Rh1 0.2500 0.2500 0.2500
# - Energy of formation: -0.427 eV per atom
# - Total moment: 7.1 μB per formula unit
# - Volume: 321 Å³/cell
# - Crystal system: cubic